The following is a PBE calculation of a relaxed OsClF3 crystal, from Alexandria via LeMat-Bulk.

Output
offset from the most stable computed form: 2301 meV/atom
space-group type: Pm-3m
uncorrected formation energy: 4.78 eV/f.u.
DOS(E_F): 2.612 states/eV per atom

Lattice parameters (Å, degrees): 4.422 4.422 4.422 90.00 90.00 90.00
Positions (direct):
Os1 0.000 0.000 0.000
Cl1 0.500 0.500 0.500
F1 0.000 0.500 0.500
F2 0.500 0.000 0.500
F3 0.500 0.500 0.000